Mg7Hg2Rh2 | PBE-GGA | relaxed

Calculated values
* symmetry: C2/m, No. 12
* formation energy from the elements: -3.40 kcal/mol of atoms

Lattice parameters (Å, degrees): 6.252 6.252 6.473 90.10 90.10 79.74
Fractional positions:
Mg 0.000 0.000 0.000
Mg 0.000 0.499 0.248
Mg 0.000 0.501 0.752
Mg 0.499 0.000 0.248
Mg 0.500 0.500 0.236
Mg 0.500 0.500 0.764
Mg 0.501 0.000 0.752
Hg 0.186 0.814 0.500
Hg 0.814 0.186 0.500
Rh 0.277 0.277 0.999
Rh 0.723 0.723 0.001


Sb2PtBr | PBE-GGA | relaxed

Calculated values
* formation energy (no corrections): 0.61 eV/f.u.
* symmetry: Fm-3m, No. 225
* relative energy among the computed polymorphs: 566 meV per atom

Lattice parameters (Å, degrees): 5.002 5.002 5.002 60.00 60.00 60.00
Fractional positions:
Sb 0.250 0.250 0.250
Sb 0.750 0.750 0.750
Pt 0.000 0.000 0.000
Br 0.500 0.500 0.500


LaFeH8Rh2 | PBE-GGA | relaxed

Calculated values
* symmetry: R-3, No. 148
* total DFT energy (no corrections): -0.352 Ry per atom

Lattice parameters (Å, degrees): 6.222 6.222 6.222 43.78 43.78 43.78
Fractional positions:
La 0.000 0.000 0.000
Fe 0.500 0.500 0.500
H 0.156 0.405 0.791
H 0.209 0.844 0.595
H 0.306 0.306 0.306
H 0.405 0.791 0.156
H 0.595 0.209 0.844
H 0.694 0.694 0.694
H 0.791 0.156 0.405
H 0.844 0.595 0.209
Rh 0.205 0.205 0.205
Rh 0.795 0.795 0.795


Pm4YIn3 | PBE-GGA | relaxed

Calculated values
* symmetry: Pmma, No. 51
* formation energy from the elements: -7.40 kcal/mol of atoms

Lattice parameters (Å, degrees): 11.246 6.981 5.961 90.00 90.00 90.00
Fractional positions:
Pm 0.000 0.247 0.000
Pm 0.000 0.753 0.000
Pm 0.250 0.240 0.366
Pm 0.250 0.760 0.366
Pm 0.500 0.247 0.000
Pm 0.500 0.753 0.000
Pm 0.750 0.240 0.634
Pm 0.750 0.760 0.634
Y 0.000 0.500 0.500
Y 0.500 0.500 0.500
In 0.000 0.000 0.500
In 0.250 0.000 0.856
In 0.250 0.500 0.850
In 0.500 0.000 0.500
In 0.750 0.000 0.144
In 0.750 0.500 0.150


BaAgN2 | PBE-GGA | relaxed

Calculated values
* formation energy (no corrections): 3.47 eV/f.u.
* symmetry: I-42d, No. 122
* relative energy among the computed polymorphs: 0 meV per atom

Lattice parameters (Å, degrees): 6.701 6.701 6.701 132.46 132.46 69.51
Fractional positions:
Ba 0.000 0.000 0.000
Ba 0.750 0.250 0.500
Ag 0.250 0.750 0.500
Ag 0.500 0.500 0.000
N 0.221 0.625 0.096
N 0.375 0.471 0.596
N 0.529 0.125 0.904
N 0.875 0.779 0.404


AcCd9Hg2 | PBE-GGA | relaxed

Calculated values
* symmetry: P6/mmm, No. 191
* formation energy from the elements: -1.42 kcal/mol of atoms

Lattice parameters (Å, degrees): 9.705 9.705 3.684 90.00 90.00 120.00
Fractional positions:
Ac 0.000 0.000 0.000
Cd 0.000 0.500 0.000
Cd 0.182 0.365 0.500
Cd 0.182 0.818 0.500
Cd 0.365 0.182 0.500
Cd 0.500 0.000 0.000
Cd 0.500 0.500 0.000
Cd 0.635 0.818 0.500
Cd 0.818 0.182 0.500
Cd 0.818 0.635 0.500
Hg 0.333 0.667 0.000
Hg 0.667 0.333 0.000


Magnetic moment (μB per cell)
0.0, 0.0, 2.1, 0.0, 0.0, 0.2